This record from Alexandria via LeMat-Bulk describes a relaxed structure of YInSe3. The functional is PBE.

Values from the calculation:
- ΔE to the lowest computed polymorph (eV/atom) = 0.000
- magnetic moment (μB/f.u.) = 0.00
- raw total energy (eV per atom) = -5.12
- ΔE_f (raw) (eV/atom) = -1.19
- Fermi-level density of states (states/eV/cell) = 0.00
- space-group type = No. 8

a b c (Å): 4.1887 4.1887 10.2603
angles (deg): 101.76 101.76 60.00
Element x y z (fractional)
Y  0.0000  0.0000  0.0000
In  0.1921  0.1921  0.5732
Se  0.2769  0.2769  0.8305
Se  0.4868  0.4868  0.4573
Se  0.7137  0.7137  0.1413



This record from Alexandria via LeMat-Bulk describes a relaxed structure of In2SbW. The functional is PBE.

Values from the calculation:
- magnetic moment (μB/f.u.) = 0.00
- raw total energy (eV per atom) = -4.96
- ΔE_f (raw) (eV/atom) = 0.67
- Fermi-level density of states (states/eV/cell) = 2.97
- space-group type = No. 10

a b c (Å): 3.0182 4.6982 6.0846
angles (deg): 90.00 90.26 90.00
Element x y z (fractional)
In  0.0018  0.0000  0.2675
In  0.9982  0.0000  0.7325
Sb  0.5000  0.5000  0.0000
W  0.5000  0.5000  0.5000



This record from Alexandria via LeMat-Bulk describes a relaxed structure of Tm10Sn3Sb3. The functional is PBE.

Values from the calculation:
- magnetic moment (μB/f.u.) = 0.00
- raw total energy (eV per atom) = -5.10
- ΔE_f (raw) (eV/atom) = -0.79
- Fermi-level density of states (states/eV/cell) = 9.77
- space-group type = No. 189

a b c (Å): 8.8421 8.8421 6.3380
angles (deg): 90.00 90.00 120.00
Element x y z (fractional)
Tm  0.0000  0.2406  0.0000
Tm  0.0000  0.7600  0.5000
Tm  0.2400  0.2400  0.5000
Tm  0.2406  0.0000  0.0000
Tm  0.3333  0.6667  0.2502
Tm  0.3333  0.6667  0.7498
Tm  0.6667  0.3333  0.2502
Tm  0.6667  0.3333  0.7498
Tm  0.7594  0.7594  0.0000
Tm  0.7600  0.0000  0.5000
Sn  0.0000  0.3931  0.5000
Sn  0.3931  0.0000  0.5000
Sn  0.6069  0.6069  0.5000
Sb  0.0000  0.6078  0.0000
Sb  0.3922  0.3922  0.0000
Sb  0.6078  0.0000  0.0000



This record from Alexandria via LeMat-Bulk describes a relaxed structure of TcGeI2O. The functional is PBE.

Values from the calculation:
- ΔE to the lowest computed polymorph (eV/atom) = 0.500
- magnetic moment (μB/f.u.) = 4.32
- raw total energy (eV per atom) = -4.17
- ΔE_f (raw) (eV/atom) = 0.44
- Fermi-level density of states (states/eV/cell) = 1.82
- space-group type = No. 123

a b c (Å): 5.8878 5.8878 3.7332
angles (deg): 90.00 90.00 90.00
Element x y z (fractional)
Tc  0.0000  0.0000  0.0000
Ge  0.5000  0.5000  0.5000
I  0.0000  0.5000  0.5000
I  0.5000  0.0000  0.5000
O  0.5000  0.5000  0.0000



Repeat the first record exactly.
This record from Alexandria via LeMat-Bulk describes a relaxed structure of YInSe3. The functional is PBE.

Values from the calculation:
- ΔE to the lowest computed polymorph (eV/atom) = 0.000
- magnetic moment (μB/f.u.) = 0.00
- raw total energy (eV per atom) = -5.12
- ΔE_f (raw) (eV/atom) = -1.19
- Fermi-level density of states (states/eV/cell) = 0.00
- space-group type = No. 8

a b c (Å): 4.1887 4.1887 10.2603
angles (deg): 101.76 101.76 60.00
Element x y z (fractional)
Y  0.0000  0.0000  0.0000
In  0.1921  0.1921  0.5732
Se  0.2769  0.2769  0.8305
Se  0.4868  0.4868  0.4573
Se  0.7137  0.7137  0.1413



What is the magnetic moment in the third record? 0.00 μB/f.u.



Among the records above, which one has the lowest Fermi-level density of states? YInSe3



Copy entry 2 word for word.
This record from Alexandria via LeMat-Bulk describes a relaxed structure of In2SbW. The functional is PBE.

Values from the calculation:
- magnetic moment (μB/f.u.) = 0.00
- raw total energy (eV per atom) = -4.96
- ΔE_f (raw) (eV/atom) = 0.67
- Fermi-level density of states (states/eV/cell) = 2.97
- space-group type = No. 10

a b c (Å): 3.0182 4.6982 6.0846
angles (deg): 90.00 90.26 90.00
Element x y z (fractional)
In  0.0018  0.0000  0.2675
In  0.9982  0.0000  0.7325
Sb  0.5000  0.5000  0.0000
W  0.5000  0.5000  0.5000